No. 1
LiZrInBr6: relaxed, PBE.

a b c (Å): 7.0609 7.0609 14.2193
angles (deg): 90.00 90.00 120.00
Closest atoms and distances in Å follow each position.
Sites, in units of the cell vectors:
Li 0.6667 0.3333 0.7500  6 Br 2.76
Br 0.3773 0.0113 0.1417  1 Zr 2.66, 1 Li 2.76
Br 0.6227 0.6340 0.6417  1 Zr 2.66, 1 Li 2.76
In 0.0000 0.0000 0.5000  6 Br 3.31
Br 0.0113 0.3773 0.6417  1 Zr 2.66, 1 Li 2.76
Zr 0.6667 0.3333 0.2500  6 Br 2.66
Li 0.3333 0.6667 0.2500  6 Br 2.76
Br 0.3773 0.3660 0.3583  1 Zr 2.66, 1 Li 2.76
Br 0.0113 0.6340 0.8583  1 Zr 2.66, 1 Li 2.76
Zr 0.3333 0.6667 0.7500  6 Br 2.66
Br 0.6340 0.6227 0.1417  1 Zr 2.66, 1 Li 2.76
Br 0.9887 0.6227 0.3583  1 Zr 2.66, 1 Li 2.76
Br 0.9887 0.3660 0.1417  1 Zr 2.66, 1 Li 2.76
Br 0.6340 0.0113 0.3583  1 Zr 2.66, 1 Li 2.76
Br 0.6227 0.9887 0.8583  1 Zr 2.66, 1 Li 2.76
Br 0.3660 0.3773 0.8583  1 Zr 2.66, 1 Li 2.76
In 0.0000 0.0000 0.0000  6 Br 3.31
Br 0.3660 0.9887 0.6417  1 Zr 2.66, 1 Li 2.76

Results
* ΔE_f (raw): -121.6 kJ per mole of atoms
* electronic total energy: -69.2 eV/cell
* crystal system: trigonal
* magnetic moment: 0.00 μB per formula unit

No. 2
Tb3CeSmTm: relaxed, PBE.

a b c (Å): 5.6761 6.5490 11.4417
angles (deg): 90.00 90.00 115.68
Closest atoms and distances in Å follow each position.
Sites, in units of the cell vectors:
Sm 0.0000 0.0000 0.0000  6 Tb 3.31-3.52, 2 Tm 3.50
Sm 0.0000 0.0000 0.5000  6 Tb 3.31-3.52, 2 Tm 3.50
Tm 0.1714 0.3428 0.2500  2 Sm 3.50, 3 Ce 3.55-3.69, 9 Tb 3.60-3.80
Tm 0.8286 0.6572 0.7500  2 Sm 3.50, 3 Ce 3.55-3.69, 9 Tb 3.60-3.80
Tb 0.6745 0.3490 0.0292  3 Tb 3.34-3.42, 2 Ce 3.48-3.63, 2 Sm 3.52, 1 Tm 3.68
Ce 0.5277 0.0555 0.7500  4 Tb 3.14-3.48
Tb 0.1410 0.2821 0.7500  2 Ce 3.14, 2 Sm 3.31, 2 Tb 3.34
Tb 0.8590 0.7179 0.2500  2 Ce 3.14, 2 Sm 3.31, 2 Tb 3.34
Tb 0.3255 0.6510 0.5292  3 Tb 3.34-3.42, 2 Ce 3.48-3.63, 2 Sm 3.52, 1 Tm 3.68
Tb 0.6745 0.3490 0.4708  3 Tb 3.34-3.42, 2 Ce 3.48-3.63, 2 Sm 3.52, 1 Tm 3.68
Tb 0.3255 0.6510 0.9708  3 Tb 3.34-3.42, 2 Ce 3.48-3.63, 2 Sm 3.52, 1 Tm 3.68
Ce 0.4723 0.9445 0.2500  4 Tb 3.14-3.48

Results
* electronic total energy: -56.1 eV/cell
* crystal system: orthorhombic
* energy of formation from the pure elements: 0.162 eV per atom
* magnetic moment: 1.53 μB per formula unit